1.
# Y2Tm2Te7

A geometry-optimized Y2Tm2Te7 structure (PBE, Alexandria).

extended XYZ file:
```
11
Lattice="-2.1019 7.9199 4.9107 2.1019 -7.9199 4.9107 2.1019 7.9199 -4.9107" Properties=species:S:1:pos:R:3 pbc="T T T"
Y 0.0000 3.8341 0.0000
Y 0.0000 12.0057 0.0000
Tm 0.0000 0.0000 2.2210
Tm 0.0000 7.9199 1.7042
Te 2.1019 -2.2350 1.8301
Te 2.1019 2.2350 1.8301
Te 2.1019 6.2036 0.0166
Te 0.0000 1.7163 4.9273
Te 0.0000 5.1327 2.9330
Te 0.0000 0.0000 8.9066
Te 0.0000 10.7071 2.9330
```

Output
V	326.98	Å³ per cell
SG	Imm2 (44)
uncorrected formation energy	-1.178	eV/atom



2.
# YTm3Te4

A geometry-optimized YTm3Te4 structure (PBE, Alexandria).

extended XYZ file:
```
16
Lattice="9.2001 0.0000 0.0000 0.0000 7.8850 0.0000 0.0000 0.0000 8.1867" Properties=species:S:1:pos:R:3 pbc="T T T"
Y 0.0000 0.9347 0.0000
Y 4.6001 6.9503 4.0933
Tm 0.0000 6.6165 2.9828
Tm 1.8347 5.6120 8.1720
Tm 2.7653 2.2730 4.0787
Tm 4.6001 1.2684 7.0762
Tm 6.4348 2.2730 4.0787
Tm 7.3654 5.6120 8.1720
Te 0.0000 1.7198 2.9566
Te 0.0000 6.6515 6.0434
Te 2.0697 2.8357 6.9555
Te 2.5304 5.0493 2.8622
Te 4.6001 1.2335 1.9501
Te 4.6001 6.1651 7.0500
Te 6.6697 5.0493 2.8622
Te 7.1305 2.8357 6.9555
```

Output
V	593.88	Å³ per cell
SG	Pmn2_1 (31)
uncorrected formation energy	-0.923	eV/atom



Taking the records one at a time from the top gives DOS at the Fermi energy values of 5.4; 5.9 states/eV/cell.